Compound: CoMo2
Source: Alexandria via LeMat-Bulk
Functional: PBE
Structure: optimized geometry

Total DFT energy (no corrections) (eV/atom): -9.362
Magnetic moment (μB per atom): 0.1253

a b c (Å): 7.5844 7.5844 4.4179
angles (deg): 90.00 90.00 160.29
Atoms (fractional coordinates):
1 Mo 0.8661 0.1339 0.2500
2 Mo 0.1339 0.8661 0.7500
3 Mo 0.4488 0.5512 0.7500
4 Mo 0.5512 0.4488 0.2500
5 Co 0.2188 0.7812 0.2500
6 Co 0.7812 0.2188 0.7500


Compound: YSc2C
Source: Alexandria via LeMat-Bulk
Functional: PBE
Structure: optimized geometry

Total DFT energy (no corrections) (eV/atom): -6.886
Magnetic moment (μB per atom): 0.2479

a b c (Å): 6.7314 6.7314 6.7304
angles (deg): 60.00 60.00 90.00
Atoms (fractional coordinates):
1 C 0.2500 0.7500 0.5000
2 C 0.5000 0.5000 0.0000
3 Sc 0.3761 0.6250 0.2500
4 Sc 0.3739 0.1250 0.2500
5 Sc 0.3750 0.6261 0.7500
6 Sc 0.8750 0.6239 0.7500
7 Y 0.7500 0.2500 0.5000
8 Y 0.0000 0.0000 0.0000


Compound: Dy6PuO12
Source: Alexandria via LeMat-Bulk
Functional: PBE
Structure: optimized geometry

Energy relative to the elements, uncorrected (eV per atom): -3.43
Total DFT energy (no corrections) (eV/atom): -8.765
Magnetic moment (μB per atom): 0.1053

a b c (Å): 6.5584 6.5584 6.5584
angles (deg): 98.87 98.87 98.87
Atoms (fractional coordinates):
1 O 0.4303 0.5889 0.1777
2 O 0.4111 0.8223 0.5697
3 O 0.0454 0.6921 0.9237
4 O 0.5889 0.1777 0.4303
5 O 0.5697 0.4111 0.8223
6 O 0.8223 0.5697 0.4111
7 O 0.9546 0.3079 0.0763
8 O 0.0763 0.9546 0.3079
9 O 0.9237 0.0454 0.6921
10 O 0.3079 0.0763 0.9546
11 O 0.1777 0.4303 0.5889
12 O 0.6921 0.9237 0.0454
13 Dy 0.3202 0.1455 0.6108
14 Dy 0.3892 0.6798 0.8545
15 Dy 0.1455 0.6108 0.3202
16 Dy 0.8545 0.3892 0.6798
17 Dy 0.6108 0.3202 0.1455
18 Dy 0.6798 0.8545 0.3892
19 Pu 0.0000 0.0000 0.0000


Compound: TbBRu
Source: Alexandria via LeMat-Bulk
Functional: PBE
Structure: optimized geometry

Total DFT energy (no corrections) (eV/atom): -7.289
E above lowest polymorph (meV per atom): 0
Magnetic moment (μB per atom): 0.0000

a b c (Å): 4.2803 3.6506 3.6506
angles (deg): 120.00 90.00 90.00
Atoms (fractional coordinates):
1 Tb 0.6668 0.3333 0.6667
2 B 0.1665 0.6667 0.3333
3 Ru 0.1667 0.0000 0.0000


Compound: BaCrFe2
Source: Alexandria via LeMat-Bulk
Functional: PBE
Structure: optimized geometry

Total DFT energy (no corrections) (eV/atom): -5.715
E above lowest polymorph (meV per atom): 910
Magnetic moment (μB per atom): 0.9756

a b c (Å): 4.6185 4.6185 4.6185
angles (deg): 60.00 60.00 60.00
Atoms (fractional coordinates):
1 Ba 0.5000 0.5000 0.5000
2 Fe 0.2500 0.2500 0.2500
3 Fe 0.7500 0.7500 0.7500
4 Cr 0.0000 0.0000 0.0000


Compound: Tm8Zn2Ag
Source: Alexandria via LeMat-Bulk
Functional: PBE
Structure: optimized geometry

Total DFT energy (no corrections) (eV/atom): -3.882
Magnetic moment (μB per atom): 0.0000

a b c (Å): 5.0270 6.8642 9.0879
angles (deg): 106.78 106.06 90.00
Atoms (fractional coordinates):
1 Zn 0.1853 0.7135 0.3705
2 Zn 0.8147 0.2865 0.6295
3 Tm 0.4073 0.5394 0.8146
4 Tm 0.3316 0.0290 0.6632
5 Tm 0.1981 0.3137 0.3962
6 Tm 0.0287 0.7728 0.0575
7 Tm 0.5927 0.4606 0.1854
8 Tm 0.6684 0.9710 0.3368
9 Tm 0.9713 0.2272 0.9425
10 Tm 0.8019 0.6863 0.6038
11 Ag 0.5000 0.0000 0.0000


Compound: Nd6Ho8Sc
Source: Alexandria via LeMat-Bulk
Functional: PBE
Structure: optimized geometry

Total DFT energy (no corrections) (eV/atom): -4.575
E above lowest polymorph (meV per atom): 81
Magnetic moment (μB per atom): 0.0000

a b c (Å): 9.6529 9.6529 8.2065
angles (deg): 53.98 53.98 60.00
Atoms (fractional coordinates):
1 Nd 0.2783 0.6079 0.0321
2 Nd 0.9183 0.7217 0.9679
3 Nd 0.6079 0.0817 0.0321
4 Nd 0.7217 0.3921 0.9679
5 Nd 0.0817 0.2783 0.0321
6 Nd 0.3921 0.9183 0.9679
7 Ho 0.2303 0.9224 0.4937
8 Ho 0.5820 0.5820 0.2539
9 Ho 0.7697 0.0776 0.5063
10 Ho 0.0776 0.6464 0.5063
11 Ho 0.9224 0.3536 0.4937
12 Ho 0.4180 0.4180 0.7461
13 Ho 0.3536 0.2303 0.4937
14 Ho 0.6464 0.7697 0.5063
15 Sc 0.0000 0.0000 0.0000


Compound: ZnFe2Cl
Source: Alexandria via LeMat-Bulk
Functional: PBE
Structure: optimized geometry

Energy relative to the elements, uncorrected (eV per atom): 0.48
Total DFT energy (no corrections) (eV/atom): -4.528
E above lowest polymorph (meV per atom): 416
Magnetic moment (μB per atom): 1.3921

a b c (Å): 4.4797 4.4797 2.8692
angles (deg): 90.00 90.00 90.00
Atoms (fractional coordinates):
1 Fe 0.5000 0.5000 0.0000
2 Fe 0.0000 0.0000 0.0000
3 Zn 0.5000 0.0000 0.5000
4 Cl 0.0000 0.5000 0.5000


Compound: FeCoIr2
Source: Alexandria via LeMat-Bulk
Functional: PBE
Structure: optimized geometry

Total DFT energy (no corrections) (eV/atom): -7.295
Magnetic moment (μB per atom): 0.0000

a b c (Å): 5.2471 5.2471 6.3737
angles (deg): 65.69 65.69 90.00
Atoms (fractional coordinates):
1 Ir 0.6223 0.1250 0.2500
2 Ir 0.3750 0.3777 0.7500
3 Ir 0.1277 0.6250 0.2500
4 Ir 0.8750 0.8723 0.7500
5 Fe 0.2500 0.7500 0.5000
6 Fe 0.5000 0.5000 0.0000
7 Co 0.7500 0.2500 0.5000
8 Co 0.0000 0.0000 0.0000


Compound: Y3Tm8Zr
Source: Alexandria via LeMat-Bulk
Functional: PBE
Structure: optimized geometry

Total DFT energy (no corrections) (eV/atom): -4.678
Magnetic moment (μB per atom): 0.0005

a b c (Å): 8.2920 8.2920 8.2920
angles (deg): 94.39 117.50 117.50
Atoms (fractional coordinates):
1 Tm 0.0000 0.6407 0.8949
2 Tm 0.7458 0.1051 0.1051
3 Tm 0.0000 0.8949 0.6407
4 Tm 0.4627 0.1974 0.1974
5 Tm 0.0000 0.2653 0.8026
6 Tm 0.5373 0.7347 0.7347
7 Tm 0.2542 0.3593 0.3593
8 Tm 0.0000 0.8026 0.2653
9 Y 0.5000 0.2500 0.7500
10 Y 0.5000 0.7500 0.2500
11 Y 0.0000 0.5000 0.5000
12 Zr 0.0000 0.0000 0.0000


Compound: TcNiBi2
Source: Alexandria via LeMat-Bulk
Functional: PBE
Structure: optimized geometry

Total DFT energy (no corrections) (eV/atom): -5.138
E above lowest polymorph (meV per atom): 277
Magnetic moment (μB per atom): 0.0000

a b c (Å): 6.0575 6.0575 7.3912
angles (deg): 65.81 65.81 90.00
Atoms (fractional coordinates):
1 Ni 0.5000 0.5000 0.0000
2 Ni 0.2500 0.7500 0.5000
3 Bi 0.8750 0.8626 0.7500
4 Bi 0.6126 0.1250 0.2500
5 Bi 0.1374 0.6250 0.2500
6 Bi 0.3750 0.3874 0.7500
7 Tc 0.0000 0.0000 0.0000
8 Tc 0.7500 0.2500 0.5000


Compound: K2VZnHg
Source: Alexandria via LeMat-Bulk
Functional: PBE
Structure: optimized geometry

Total DFT energy (no corrections) (eV/atom): -1.869
Magnetic moment (μB per atom): 0.9815

a b c (Å): 6.5613 5.0877 6.5613
angles (deg): 90.00 90.00 90.00
Atoms (fractional coordinates):
1 K 0.0000 0.0000 0.5000
2 K 0.5000 0.0000 0.0000
3 Zn 0.0000 0.5000 0.0000
4 V 0.0000 0.0000 0.0000
5 Hg 0.5000 0.5000 0.5000


Compound: Li2YPt
Source: Alexandria via LeMat-Bulk
Functional: PBE
Structure: optimized geometry

Total DFT energy (no corrections) (eV/atom): -4.563
E above lowest polymorph (meV per atom): 73
Magnetic moment (μB per atom): 0.0000

a b c (Å): 5.0824 4.0132 4.0168
angles (deg): 87.10 90.00 90.00
Atoms (fractional coordinates):
1 Y 0.5000 0.7500 0.7500
2 Li 0.0000 0.0517 0.0510
3 Li 0.0000 0.4483 0.4490
4 Pt 0.5000 0.2500 0.2500


Compound: NbTePt3
Source: Alexandria via LeMat-Bulk
Functional: PBE
Structure: optimized geometry

Energy relative to the elements, uncorrected (eV per atom): 0.89
Total DFT energy (no corrections) (eV/atom): -5.378
E above lowest polymorph (meV per atom): 0
Magnetic moment (μB per atom): 0.0000

a b c (Å): 4.9141 4.9141 4.9141
angles (deg): 90.00 90.00 90.00
Atoms (fractional coordinates):
1 Pt 0.0000 0.5000 0.0000
2 Pt 0.0000 0.0000 0.5000
3 Pt 0.5000 0.0000 0.0000
4 Te 0.5000 0.5000 0.5000
5 Nb 0.0000 0.0000 0.0000


Compound: BaAgSe
Source: Alexandria via LeMat-Bulk
Functional: PBE
Structure: optimized geometry

Energy relative to the elements, uncorrected (eV per atom): -1.07
Total DFT energy (no corrections) (eV/atom): -3.823
E above lowest polymorph (meV per atom): 1
Magnetic moment (μB per atom): 0.0000

a b c (Å): 4.7023 4.5492 9.6390
angles (deg): 90.00 91.74 90.00
Atoms (fractional coordinates):
1 Se 0.2520 0.7500 0.6560
2 Se 0.7480 0.2500 0.3440
3 Ba 0.7592 0.2500 0.6865
4 Ba 0.2408 0.7500 0.3135
5 Ag 0.6041 0.2500 0.0724
6 Ag 0.3959 0.7500 0.9276


Compound: LaTc2Ni
Source: Alexandria via LeMat-Bulk
Functional: PBE
Structure: optimized geometry

Total DFT energy (no corrections) (eV/atom): -7.425
E above lowest polymorph (meV per atom): 379
Magnetic moment (μB per atom): 0.0000

a b c (Å): 5.6253 5.6253 3.1440
angles (deg): 76.13 76.13 124.84
Atoms (fractional coordinates):
1 Tc 0.5000 0.5000 0.0000
2 Tc 0.0000 0.0000 0.0000
3 La 0.5000 0.0000 0.5000
4 Ni 0.0000 0.5000 0.5000


Compound: Cs2SeBr4
Source: Alexandria via LeMat-Bulk
Functional: PBE
Structure: optimized geometry

Energy relative to the elements, uncorrected (eV per atom): -1.11
Total DFT energy (no corrections) (eV/atom): -2.809
E above lowest polymorph (meV per atom): 0
Magnetic moment (μB per atom): 0.0000

a b c (Å): 8.0200 8.0200 7.5346
angles (deg): 122.16 122.16 90.00
Atoms (fractional coordinates):
1 Br 0.2675 0.7325 0.0000
2 Br 0.2675 0.2675 0.0000
3 Br 0.7325 0.7325 0.0000
4 Br 0.7325 0.2675 0.0000
5 Se 0.5000 0.5000 0.0000
6 Cs 0.2500 0.7500 0.5000
7 Cs 0.7500 0.2500 0.5000


Compound: ZrFeAu2
Source: Alexandria via LeMat-Bulk
Functional: PBE
Structure: optimized geometry

Total DFT energy (no corrections) (eV/atom): -5.687
Magnetic moment (μB per atom): 0.0000

a b c (Å): 3.8242 3.8242 10.2615
angles (deg): 79.26 79.26 90.00
Atoms (fractional coordinates):
1 Fe 0.2500 0.7500 0.5000
2 Fe 0.5000 0.5000 0.0000
3 Au 0.1362 0.6250 0.2500
4 Au 0.3750 0.3862 0.7500
5 Au 0.6138 0.1250 0.2500
6 Au 0.8750 0.8638 0.7500
7 Zr 0.7500 0.2500 0.5000
8 Zr 0.0000 0.0000 0.0000


Compound: LiIn4Au4
Source: Alexandria via LeMat-Bulk
Functional: PBE
Structure: optimized geometry

Total DFT energy (no corrections) (eV/atom): -3.074
Magnetic moment (μB per atom): 0.0000

a b c (Å): 5.8692 7.2142 5.8692
angles (deg): 66.00 90.00 114.00
Atoms (fractional coordinates):
1 In 0.4024 0.2641 0.5976
2 In 0.1382 0.7359 0.4024
3 In 0.5976 0.7359 0.8618
4 In 0.8618 0.2641 0.1382
5 Li 0.0000 0.0000 0.0000
6 Au 0.3721 0.2518 0.1203
7 Au 0.1203 0.7482 0.8797
8 Au 0.8797 0.2518 0.6279
9 Au 0.6279 0.7482 0.3721


Compound: Ga2AgAu2
Source: Alexandria via LeMat-Bulk
Functional: PBE
Structure: optimized geometry

Total DFT energy (no corrections) (eV/atom): -3.139
E above lowest polymorph (meV per atom): 85
Magnetic moment (μB per atom): 0.0000

a b c (Å): 7.6742 7.6742 3.0715
angles (deg): 90.00 90.00 90.00
Atoms (fractional coordinates):
1 Ga 0.6238 0.1238 0.0000
2 Ga 0.1238 0.3762 0.0000
3 Ga 0.3762 0.8762 0.0000
4 Ga 0.8762 0.6238 0.0000
5 Ag 0.0000 0.0000 0.0000
6 Ag 0.5000 0.5000 0.0000
7 Au 0.3207 0.1793 0.5000
8 Au 0.6793 0.8207 0.5000
9 Au 0.8207 0.3207 0.5000
10 Au 0.1793 0.6793 0.5000


Compound: GdAgSnRu
Source: Alexandria via LeMat-Bulk
Functional: PBE
Structure: optimized geometry

Total DFT energy (no corrections) (eV/atom): -7.762
Magnetic moment (μB per atom): 1.7812

a b c (Å): 4.8395 4.8395 4.8395
angles (deg): 60.00 60.00 60.00
Atoms (fractional coordinates):
1 Gd 0.0000 0.0000 0.0000
2 Ru 0.7500 0.7500 0.7500
3 Ag 0.2500 0.2500 0.2500
4 Sn 0.5000 0.5000 0.5000


Compound: Na4In3SiO8
Source: Alexandria via LeMat-Bulk
Functional: PBE
Structure: optimized geometry

Energy relative to the elements, uncorrected (eV per atom): -1.66
Total DFT energy (no corrections) (eV/atom): -5.323
Magnetic moment (μB per atom): 0.0000

a b c (Å): 6.4432 6.6753 6.4440
angles (deg): 118.84 120.00 90.00
Atoms (fractional coordinates):
1 O 0.2617 0.2851 0.5234
2 O 0.7824 0.6934 0.9879
3 O 0.7945 0.3066 0.0121
4 O 0.7383 0.7149 0.4766
5 O 0.2176 0.3066 0.0121
6 O 0.2052 0.6932 0.4105
7 O 0.2055 0.6934 0.9879
8 O 0.7948 0.3068 0.5895
9 Na 0.0000 0.0000 0.0000
10 Na 0.5000 0.0000 0.5000
11 Na 0.0000 0.0000 0.5000
12 Na 0.5000 0.0000 0.0000
13 In 0.0000 0.5000 0.5000
14 In 0.5000 0.5000 0.0000
15 In 0.5000 0.5000 0.5000
16 Si 0.0000 0.5000 0.0000


Compound: CaTi2Nb2
Source: Alexandria via LeMat-Bulk
Functional: PBE
Structure: optimized geometry

Total DFT energy (no corrections) (eV/atom): -7.269
Magnetic moment (μB per atom): 0.0000

a b c (Å): 8.1107 8.1107 3.1607
angles (deg): 90.00 90.00 90.00
Atoms (fractional coordinates):
1 Nb 0.6370 0.1370 0.0000
2 Nb 0.1370 0.3630 0.0000
3 Nb 0.8630 0.6370 0.0000
4 Nb 0.3630 0.8630 0.0000
5 Ti 0.3597 0.1403 0.5000
6 Ti 0.1403 0.6403 0.5000
7 Ti 0.6403 0.8597 0.5000
8 Ti 0.8597 0.3597 0.5000
9 Ca 0.5000 0.5000 0.0000
10 Ca 0.0000 0.0000 0.0000


Compound: PrCdPb
Source: Alexandria via LeMat-Bulk
Functional: PBE
Structure: optimized geometry

Total DFT energy (no corrections) (eV/atom): -3.517
Magnetic moment (μB per atom): 0.0000

a b c (Å): 4.6411 4.6411 8.0478
angles (deg): 90.02 89.98 90.00
Atoms (fractional coordinates):
1 Cd 0.7506 0.7506 0.0000
2 Cd 0.2494 0.2494 0.0000
3 Pr 0.2491 0.7509 0.6696
4 Pr 0.7509 0.2491 0.3303
5 Pb 0.2513 0.7487 0.2659
6 Pb 0.7487 0.2513 0.7341


Compound: RePtSe2
Source: Alexandria via LeMat-Bulk
Functional: PBE
Structure: optimized geometry

Energy relative to the elements, uncorrected (eV per atom): 0.25
Total DFT energy (no corrections) (eV/atom): -6.114
E above lowest polymorph (meV per atom): 163
Magnetic moment (μB per atom): 0.0000

a b c (Å): 3.1838 3.7082 6.6261
angles (deg): 90.00 90.00 90.00
Atoms (fractional coordinates):
1 Se 0.5000 0.5000 0.3633
2 Se 0.0000 0.0000 0.8990
3 Pt 0.0000 0.0000 0.5023
4 Re 0.5000 0.5000 0.7354